(1)
First-principles (GGA-PBE) data for a geometry-optimized Cs3FeRu structure, as listed in the Alexandria database.

Structure (CIF):
```
data_Cs3FeRu
_chemical_formula_sum 'Cs3 Fe1 Ru1'
_cell_length_a 6.0522
_cell_length_b 6.0522
_cell_length_c 6.0522
_cell_angle_alpha 90.00
_cell_angle_beta 90.00
_cell_angle_gamma 90.00
_space_group_name_H-M_alt 'P m -3 m'
_space_group_IT_number 221
_space_group_name_Hall '-P 4 2 3'
loop_
_atom_site_label
_atom_site_fract_x
_atom_site_fract_y
_atom_site_fract_z
Cs1 0.0000 0.0000 0.5000
Fe1 0.5000 0.5000 0.5000
Ru1 0.0000 0.0000 0.0000
```

Values from the calculation:
The value obtained for the formation energy is 1457 meV per atom.


(2)
First-principles (GGA-PBE) data for a geometry-optimized Ta2CrIr structure, as listed in the Alexandria database.

Structure (CIF):
```
data_Ta2CrIr
_chemical_formula_sum 'Ta4 Cr2 Ir2'
_cell_length_a 3.3983
_cell_length_b 4.5220
_cell_length_c 8.2020
_cell_angle_alpha 90.00
_cell_angle_beta 90.00
_cell_angle_gamma 90.00
_space_group_name_H-M_alt 'C m m m'
_space_group_IT_number 65
_space_group_name_Hall '-C 2 2'
loop_
_atom_site_label
_atom_site_fract_x
_atom_site_fract_y
_atom_site_fract_z
Ta1 0.0000 0.0000 0.2429
Cr1 0.0000 0.5000 0.0000
Ir1 0.0000 0.5000 0.5000
```

Values from the calculation:
The value obtained for the formation energy is -113 meV per atom.


(3)
First-principles (GGA-PBE) data for a geometry-optimized ZrZnIn2 structure, as listed in the Alexandria database.

Structure (CIF):
```
data_ZrZnIn2
_chemical_formula_sum 'Zr1 Zn1 In2'
_cell_length_a 3.3491
_cell_length_b 4.2606
_cell_length_c 6.1006
_cell_angle_alpha 90.00
_cell_angle_beta 90.00
_cell_angle_gamma 90.00
_space_group_name_H-M_alt 'P m m 2'
_space_group_IT_number 25
loop_
_space_group_symop_operation_xyz
'x,y,z'
'-x,-y,z'
'-x,y,z'
'x,-y,z'
loop_
_atom_site_label
_atom_site_fract_x
_atom_site_fract_y
_atom_site_fract_z
Zr1 0.0000 0.0000 0.0000
Zn1 0.5000 0.5000 0.7678
In1 0.0000 0.0000 0.5161
In2 0.5000 0.5000 0.2400
```

Values from the calculation:
The value obtained for the formation energy is -63 meV per atom.


(4)
First-principles (GGA-PBE) data for a geometry-optimized SbRuAu2 structure, as listed in the Alexandria database.

Structure (CIF):
```
data_SbRuAu2
_chemical_formula_sum 'Sb1 Ru1 Au2'
_cell_length_a 3.3384
_cell_length_b 3.6351
_cell_length_c 6.0518
_cell_angle_alpha 90.00
_cell_angle_beta 90.00
_cell_angle_gamma 90.00
_space_group_name_H-M_alt 'P m m 2'
_space_group_IT_number 25
loop_
_space_group_symop_operation_xyz
'x,y,z'
'-x,-y,z'
'-x,y,z'
'x,-y,z'
loop_
_atom_site_label
_atom_site_fract_x
_atom_site_fract_y
_atom_site_fract_z
Sb1 0.0000 0.0000 0.0000
Ru1 0.5000 0.5000 0.8044
Au1 0.0000 0.0000 0.5305
Au2 0.5000 0.5000 0.3058
```

Values from the calculation:
For the uncorrected formation energy, the calculation gives 14.51 kJ/mol of atoms.


| no. | VASP energy (eV per atom) |
| --- | --- |
| 1 | -2.60 |
| 2 | -10.66 |
| 3 | -3.89 |
| 4 | -4.84 |